Entry from Alexandria: a geometry-optimized MnNi2HPt structure (PBE).

CIF file:
```
data_MnNi2HPt
_symmetry_space_group_name_H-M 'P 1'
_symmetry_Int_Tables_number 1
_symmetry_space_group_name_Hall 'P 1'
_cell_length_a 3.702
_cell_length_b 3.702
_cell_length_c 3.861
_cell_angle_alpha 90.00
_cell_angle_beta 90.00
_cell_angle_gamma 90.00
loop_
_atom_site_label
_atom_site_type_symbol
_atom_site_fract_x
_atom_site_fract_y
_atom_site_fract_z
Ni1 Ni 0.000 0.500 0.000
Ni2 Ni 0.500 0.000 0.000
Mn1 Mn 0.000 0.000 0.500
Pt1 Pt 0.500 0.500 0.500
H1 H 0.000 0.000 0.000
```

Energy relative to the lowest polymorph listed for this composition = 0 meV/atom
Uncorrected energy = -6.207 eV/atom
Space-group type = P4/mmm